1.
# ThSiBIr6 PBE-GGA relaxed
# **E_form (uncorrected)**: -144 meV/atom
# **Theoretical density**: 15.741 g/cm³
# **DOS(E_F)**: 31.12 states/eV/cell
# **Volume**: 601 Å³/cell
data_ThSiBIr6
_chemical_formula_sum 'Th4 Si4 B4 Ir24'
_cell_length_a 6.128
_cell_length_b 8.667
_cell_length_c 11.317
_cell_angle_alpha 90.00
_cell_angle_beta 90.00
_cell_angle_gamma 90.00
_space_group_name_H-M_alt 'I m m a'
_space_group_IT_number 74
_space_group_name_Hall '-I 2b 2'
loop_
_atom_site_label
_atom_site_type_symbol
_atom_site_fract_x
_atom_site_fract_y
_atom_site_fract_z
_atom_site_occupancy
Th1 Th 0.000 0.250 0.181 1
Si1 Si 0.250 0.250 0.750 1
B1 B 0.000 0.000 0.500 1
Ir1 Ir 0.000 0.250 0.444 1
Ir2 Ir 0.000 0.250 0.913 1
Ir3 Ir 0.236 0.020 0.627 1

***

2.
# Ti2SiB2Ir5 PBE-GGA relaxed
# **E_form (uncorrected)**: -675 meV/atom
# **Theoretical density**: 14.217 g/cm³
# **DOS(E_F)**: 13.20 states/eV/cell
# **Volume**: 258 Å³/cell
data_Ti2SiB2Ir5
_chemical_formula_sum 'Ti4 Si2 B4 Ir10'
_cell_length_a 9.037
_cell_length_b 9.037
_cell_length_c 3.165
_cell_angle_alpha 90.00
_cell_angle_beta 90.00
_cell_angle_gamma 90.00
_space_group_name_H-M_alt 'P 4/m b m'
_space_group_IT_number 127
_space_group_name_Hall '-P 4 2ab'
loop_
_atom_site_label
_atom_site_type_symbol
_atom_site_fract_x
_atom_site_fract_y
_atom_site_fract_z
_atom_site_occupancy
Ti1 Ti 0.174 0.326 0.000 1
Si1 Si 0.000 0.000 0.000 1
B1 B 0.125 0.625 0.000 1
Ir1 Ir 0.000 0.500 0.500 1
Ir2 Ir 0.072 0.790 0.500 1

***

3.
# Tm2SiBIr6 PBE-GGA relaxed
# **E_form (uncorrected)**: -511 meV/atom
# **Theoretical density**: 15.508 g/cm³
# **DOS(E_F)**: 9.29 states/eV/cell
# **Volume**: 328 Å³/cell
data_Tm2SiBIr6
_chemical_formula_sum 'Tm4 Si2 B2 Ir12'
_cell_length_a 6.032
_cell_length_b 6.265
_cell_length_c 8.671
_cell_angle_alpha 90.00
_cell_angle_beta 90.00
_cell_angle_gamma 90.00
_space_group_name_H-M_alt 'I m m m'
_space_group_IT_number 71
_space_group_name_Hall '-I 2 2'
loop_
_atom_site_label
_atom_site_type_symbol
_atom_site_fract_x
_atom_site_fract_y
_atom_site_fract_z
_atom_site_occupancy
Tm1 Tm 0.000 0.000 0.244 1
Si1 Si 0.000 0.500 0.500 1
B1 B 0.000 0.500 0.000 1
Ir1 Ir 0.000 0.500 0.239 1
Ir2 Ir 0.247 0.270 0.000 1

***

4.
# Y2SiBIr6 PBE-GGA relaxed
# **E_form (uncorrected)**: -490 meV/atom
# **Theoretical density**: 13.676 g/cm³
# **DOS(E_F)**: 18.78 states/eV/cell
# **Volume**: 665 Å³/cell
data_Y2SiBIr6
_chemical_formula_sum 'Y8 Si4 B4 Ir24'
_cell_length_a 8.730
_cell_length_b 8.730
_cell_length_c 8.730
_cell_angle_alpha 90.00
_cell_angle_beta 90.00
_cell_angle_gamma 90.00
_space_group_name_H-M_alt 'F m -3 m'
_space_group_IT_number 225
_space_group_name_Hall '-F 4 2 3'
loop_
_atom_site_label
_atom_site_type_symbol
_atom_site_fract_x
_atom_site_fract_y
_atom_site_fract_z
_atom_site_occupancy
Y1 Y 0.250 0.250 0.250 1
Si1 Si 0.000 0.000 0.000 1
B1 B 0.000 0.000 0.500 1
Ir1 Ir 0.000 0.000 0.262 1

***

5.
# Zn2SiB2Ir5 PBE-GGA relaxed
# **E_form (uncorrected)**: -349 meV/atom
# **Theoretical density**: 14.914 g/cm³
# **DOS(E_F)**: 2.16 states/eV/cell
# **Volume**: 254 Å³/cell
data_Zn2SiB2Ir5
_chemical_formula_sum 'Zn4 Si2 B4 Ir10'
_cell_length_a 9.400
_cell_length_b 9.400
_cell_length_c 2.877
_cell_angle_alpha 90.00
_cell_angle_beta 90.00
_cell_angle_gamma 90.00
_space_group_name_H-M_alt 'P 4/m b m'
_space_group_IT_number 127
_space_group_name_Hall '-P 4 2ab'
loop_
_atom_site_label
_atom_site_type_symbol
_atom_site_fract_x
_atom_site_fract_y
_atom_site_fract_z
_atom_site_occupancy
Zn1 Zn 0.174 0.326 0.000 1
Si1 Si 0.000 0.000 0.000 1
B1 B 0.127 0.627 0.000 1
Ir1 Ir 0.000 0.500 0.500 1
Ir2 Ir 0.079 0.794 0.500 1

***

6.
# SmBIr PBE-GGA relaxed
# **Theoretical density**: 11.229 g/cm³
# **Calculated formation energy**: -0.59 eV/atom
# **DOS(E_F)**: 2.47 states/eV/cell
# **Volume**: 52 Å³/cell
# **Energy above the lowest structure with this stoichiometry**: 0.000 eV per atom
data_SmBIr
_chemical_formula_sum 'Sm1 B1 Ir1'
_cell_length_a 3.6911
_cell_length_b 3.6911
_cell_length_c 4.4289
_cell_angle_alpha 90.00
_cell_angle_beta 90.00
_cell_angle_gamma 120.00
_space_group_name_H-M_alt 'P -6 m 2'
_space_group_IT_number 187
_space_group_name_Hall 'P -6 2'
loop_
_atom_site_label
_atom_site_type_symbol
_atom_site_fract_x
_atom_site_fract_y
_atom_site_fract_z
_atom_site_occupancy
Sm1 Sm 0.0000 0.0000 0.0000 1
B1 B 0.3333 0.6667 0.5000 1
Ir1 Ir 0.6667 0.3333 0.5000 1

***

7.
# SmB2Ir2 PBE-GGA relaxed
# **Theoretical density**: 12.478 g/cm³
# **Calculated formation energy**: -0.37 eV/atom
# **DOS(E_F)**: 20.23 states/eV/cell
# **Volume**: 592 Å³/cell
data_SmB2Ir2
_chemical_formula_sum 'Sm8 B16 Ir16'
_cell_length_a 6.518
_cell_length_b 6.518
_cell_length_c 13.943
_cell_angle_alpha 90.00
_cell_angle_beta 90.00
_cell_angle_gamma 90.00
_space_group_name_H-M_alt 'I 41/a m d'
_space_group_IT_number 141
loop_
_space_group_symop_operation_xyz
'x,y,z'
'-x,-y,-z'
'-y+1/4,x+3/4,z+1/4'
'y+1/4,-x+3/4,-z+1/4'
'-x+1/2,-y,z+1/2'
'x+1/2,y,-z+1/2'
'y+1/4,-x+1/4,z+3/4'
'-y+1/4,x+1/4,-z+3/4'
'x,-y,-z'
'-x,y,z'
'-y+1/4,-x+1/4,-z+3/4'
'y+1/4,x+1/4,z+3/4'
'-x+1/2,y,-z+1/2'
'x+1/2,-y,z+1/2'
'y+1/4,x+3/4,-z+1/4'
'-y+1/4,-x+3/4,z+1/4'
'x+1/2,y+1/2,z+1/2'
'-x+1/2,-y+1/2,-z+1/2'
'-y+3/4,x+1/4,z+3/4'
'y+3/4,-x+1/4,-z+3/4'
'-x,-y+1/2,z'
'x,y+1/2,-z'
'y+3/4,-x+3/4,z+1/4'
'-y+3/4,x+3/4,-z+1/4'
'x+1/2,-y+1/2,-z+1/2'
'-x+1/2,y+1/2,z+1/2'
'-y+3/4,-x+3/4,-z+1/4'
'y+3/4,x+3/4,z+1/4'
'-x,y+1/2,-z'
'x,-y+1/2,z'
'y+3/4,x+1/4,-z+3/4'
'-y+3/4,-x+1/4,z+3/4'
loop_
_atom_site_label
_atom_site_type_symbol
_atom_site_fract_x
_atom_site_fract_y
_atom_site_fract_z
_atom_site_occupancy
Sm1 Sm 0.000 0.000 0.000 1
B1 B 0.000 0.110 0.267 1
Ir1 Ir 0.000 0.038 0.595 1

***

8.
# SmB3Ir3 PBE-GGA relaxed
# **Theoretical density**: 12.282 g/cm³
# **Calculated formation energy**: -0.40 eV/atom
# **DOS(E_F)**: 3.40 states/eV/cell
# **Volume**: 205 Å³/cell
# **Energy above the lowest structure with this stoichiometry**: 0.000 eV per atom
data_SmB3Ir3
_chemical_formula_sum 'Sm2 B6 Ir6'
_cell_length_a 5.900
_cell_length_b 5.900
_cell_length_c 5.900
_cell_angle_alpha 90.00
_cell_angle_beta 90.00
_cell_angle_gamma 90.00
_space_group_name_H-M_alt 'P m -3 n'
_space_group_IT_number 223
_space_group_name_Hall '-P 4n 2 3'
loop_
_atom_site_label
_atom_site_type_symbol
_atom_site_fract_x
_atom_site_fract_y
_atom_site_fract_z
_atom_site_occupancy
Sm1 Sm 0.000 0.000 0.000 1
B1 B 0.000 0.250 0.500 1
Ir1 Ir 0.000 0.500 0.250 1

***

9.
# SmB3Ir3 PBE-GGA relaxed
# **Theoretical density**: 12.578 g/cm³
# **Calculated formation energy**: -0.31 eV/atom
# **DOS(E_F)**: 12.19 states/eV/cell
# **Volume**: 401 Å³/cell
# **Energy above the lowest structure with this stoichiometry**: 0.089 eV per atom
data_SmB3Ir3
_chemical_formula_sum 'Sm4 B12 Ir12'
_cell_length_a 7.724
_cell_length_b 7.727
_cell_length_c 7.727
_cell_angle_alpha 71.22
_cell_angle_beta 71.26
_cell_angle_gamma 71.25
_space_group_name_H-M_alt 'P 1'
_space_group_IT_number 1
_space_group_name_Hall 'P 1'
loop_
_atom_site_label
_atom_site_type_symbol
_atom_site_fract_x
_atom_site_fract_y
_atom_site_fract_z
_atom_site_occupancy
Sm1 Sm 0.000 0.000 0.000 1
Sm2 Sm 0.030 0.471 0.626 1
Sm3 Sm 0.472 0.627 0.029 1
Sm4 Sm 0.626 0.030 0.471 1
B1 B 0.009 0.386 0.293 1
B2 B 0.078 0.645 0.224 1
B3 B 0.224 0.077 0.646 1
B4 B 0.294 0.009 0.384 1
B5 B 0.386 0.294 0.008 1
B6 B 0.389 0.483 0.774 1
B7 B 0.484 0.775 0.388 1
B8 B 0.555 0.988 0.850 1
B9 B 0.646 0.225 0.077 1
B10 B 0.775 0.389 0.482 1
B11 B 0.851 0.555 0.987 1
B12 B 0.988 0.851 0.554 1
Ir1 Ir 0.010 0.136 0.504 1
Ir2 Ir 0.136 0.504 0.009 1
Ir3 Ir 0.190 0.784 0.328 1
Ir4 Ir 0.241 0.793 0.661 1
Ir5 Ir 0.329 0.189 0.784 1
Ir6 Ir 0.478 0.478 0.478 1
Ir7 Ir 0.505 0.009 0.135 1
Ir8 Ir 0.631 0.631 0.630 1
Ir9 Ir 0.662 0.241 0.792 1
Ir10 Ir 0.785 0.329 0.189 1
Ir11 Ir 0.793 0.662 0.240 1
Ir12 Ir 0.811 0.811 0.810 1

***

10.
# Sm2B6Ir9 PBE-GGA relaxed
# **Theoretical density**: 14.395 g/cm³
# **Calculated formation energy**: -0.57 eV/atom
# **DOS(E_F)**: 3.03 states/eV/cell
# **Volume**: 242 Å³/cell
data_Sm2B6Ir9
_chemical_formula_sum 'Sm2 B6 Ir9'
_cell_length_a 5.6824
_cell_length_b 5.6824
_cell_length_c 8.6442
_cell_angle_alpha 90.00
_cell_angle_beta 90.00
_cell_angle_gamma 120.00
_space_group_name_H-M_alt 'P 6/m m m'
_space_group_IT_number 191
_space_group_name_Hall '-P 6 2'
loop_
_atom_site_label
_atom_site_type_symbol
_atom_site_fract_x
_atom_site_fract_y
_atom_site_fract_z
_atom_site_occupancy
Sm1 Sm 0.0000 0.0000 0.2032 1
B1 B 0.3333 0.6667 0.1674 1
B2 B 0.3333 0.6667 0.5000 1
Ir1 Ir 0.0000 0.5000 0.0000 1
Ir2 Ir 0.0000 0.5000 0.3365 1

***

11.
# SmB2Ir2 PBE-GGA relaxed
# **Theoretical density**: 12.255 g/cm³
# **Calculated formation energy**: -0.73 eV/atom
# **DOS(E_F)**: 20.44 states/eV/cell
# **Volume**: 603 Å³/cell
data_SmB2Ir2
_chemical_formula_sum 'Sm8 B16 Ir16'
_cell_length_a 6.058
_cell_length_b 9.348
_cell_length_c 10.651
_cell_angle_alpha 90.00
_cell_angle_beta 90.00
_cell_angle_gamma 90.00
_space_group_name_H-M_alt 'F d d d'
_space_group_IT_number 70
loop_
_space_group_symop_operation_xyz
'x,y,z'
'-x,-y,-z'
'-x+1/4,-y+1/4,z'
'x+1/4,y+1/4,-z'
'x,-y+1/4,-z+1/4'
'-x,y+1/4,z+1/4'
'-x+1/4,y,-z+1/4'
'x+1/4,-y,z+1/4'
'x,y+1/2,z+1/2'
'-x,-y+1/2,-z+1/2'
'-x+1/4,-y+3/4,z+1/2'
'x+1/4,y+3/4,-z+1/2'
'x,-y+3/4,-z+3/4'
'-x,y+3/4,z+3/4'
'-x+1/4,y+1/2,-z+3/4'
'x+1/4,-y+1/2,z+3/4'
'x+1/2,y,z+1/2'
'-x+1/2,-y,-z+1/2'
'-x+3/4,-y+1/4,z+1/2'
'x+3/4,y+1/4,-z+1/2'
'x+1/2,-y+1/4,-z+3/4'
'-x+1/2,y+1/4,z+3/4'
'-x+3/4,y,-z+3/4'
'x+3/4,-y,z+3/4'
'x+1/2,y+1/2,z'
'-x+1/2,-y+1/2,-z'
'-x+3/4,-y+3/4,z'
'x+3/4,y+3/4,-z'
'x+1/2,-y+3/4,-z+1/4'
'-x+1/2,y+3/4,z+1/4'
'-x+3/4,y+1/2,-z+1/4'
'x+3/4,-y+1/2,z+1/4'
loop_
_atom_site_label
_atom_site_type_symbol
_atom_site_fract_x
_atom_site_fract_y
_atom_site_fract_z
_atom_site_occupancy
Sm1 Sm 0.125 0.125 0.125 1
B1 B 0.125 0.306 0.625 1
Ir1 Ir 0.125 0.125 0.495 1

***

12.
# SmBIr PBE-GGA relaxed
# **Theoretical density**: 12.540 g/cm³
# **Calculated formation energy**: -0.18 eV/atom
# **DOS(E_F)**: 3.09 states/eV/cell
# **Volume**: 94 Å³/cell
# **Energy above the lowest structure with this stoichiometry**: 0.407 eV per atom
data_SmBIr
_chemical_formula_sum 'Sm2 B2 Ir2'
_cell_length_a 2.962
_cell_length_b 2.962
_cell_length_c 10.668
_cell_angle_alpha 90.00
_cell_angle_beta 90.00
_cell_angle_gamma 90.00
_space_group_name_H-M_alt 'I 4 m m'
_space_group_IT_number 107
_space_group_name_Hall 'I 4 -2'
loop_
_atom_site_label
_atom_site_type_symbol
_atom_site_fract_x
_atom_site_fract_y
_atom_site_fract_z
_atom_site_occupancy
Sm1 Sm 0.000 0.000 0.000 1
B1 B 0.000 0.000 0.695 1
Ir1 Ir 0.000 0.000 0.276 1

***

Question: What is the volume in the twelfth record?
Answer: 94 Å³/cell

***

Question: Among the records above, which one has the highest DOS(E_F)?
Answer: ThSiBIr6

***

Question: Which formula does entry 5 have?
Answer: Zn2SiB2Ir5

***

Question: Which of these has the lowest volume?
Answer: number 6